1.
Density functional theory data (PBE-GGA) for a relaxed structure of AgAu.

Geometry as POSCAR:
```
AgAu
1.0
2.866 0.000 0.000
1.433 5.482 0.000
0.000 0.000 4.629
Au Ag
2 2
Direct
0.171 0.658 0.750
0.829 0.342 0.250
0.428 0.143 0.750
0.572 0.857 0.250
```

Summary:
As for the spin magnetization: 0.000 μB/atom. The uncorrected energy comes out at -3.0524 eV/atom. The density of states at the Fermi level comes out at 0.82 states/eV/f.u. The space group is Cmcm, No. 63. Its calculated density is 13.9 Mg/m³.

***

2.
Density functional theory data (PBE-GGA) for a relaxed structure of Hf5Zr3Sn12.

Geometry as POSCAR:
```
Hf5Zr3Sn12
1.0
-5.830 6.860 -11.616
-4.187 -14.087 -0.020
-4.642 6.473 12.350
Sn Zr Hf
48 12 20
Direct
0.858 0.266 0.434
0.142 0.734 0.566
0.408 0.142 0.575
0.066 0.642 0.734
0.925 0.832 0.566
0.925 0.092 0.858
0.358 0.425 0.092
0.592 0.734 0.668
0.832 0.925 0.066
0.575 0.642 0.408
0.934 0.575 0.168
0.858 0.592 0.925
0.425 0.358 0.592
0.934 0.358 0.266
0.908 0.832 0.766
0.575 0.934 0.668
0.092 0.168 0.234
0.408 0.266 0.332
0.766 0.434 0.358
0.734 0.142 0.066
0.668 0.234 0.592
0.566 0.332 0.925
0.266 0.858 0.934
0.142 0.408 0.075
0.168 0.075 0.934
0.358 0.934 0.766
0.434 0.766 0.858
0.266 0.408 0.832
0.075 0.908 0.142
0.566 0.234 0.142
0.075 0.168 0.434
0.425 0.066 0.332
0.066 0.425 0.832
0.908 0.075 0.642
0.642 0.066 0.234
0.642 0.575 0.908
0.592 0.858 0.425
0.092 0.925 0.358
0.668 0.434 0.575
0.766 0.332 0.908
0.832 0.908 0.266
0.332 0.566 0.425
0.434 0.668 0.075
0.168 0.092 0.734
0.332 0.766 0.408
0.234 0.566 0.642
0.734 0.592 0.168
0.234 0.668 0.092
0.250 0.625 0.875
0.750 0.875 0.625
0.250 0.125 0.375
0.875 0.750 0.125
0.875 0.125 0.250
0.625 0.250 0.375
0.750 0.375 0.125
0.625 0.375 0.750
0.375 0.750 0.625
0.125 0.250 0.875
0.375 0.625 0.250
0.125 0.875 0.750
0.375 0.250 0.125
0.375 0.125 0.750
0.500 0.000 0.500
0.500 0.500 0.000
0.125 0.750 0.375
0.250 0.875 0.125
0.000 0.500 0.000
0.750 0.125 0.875
0.000 0.000 0.000
0.625 0.750 0.875
0.125 0.375 0.250
0.000 0.000 0.500
0.875 0.250 0.625
0.000 0.500 0.500
0.625 0.875 0.250
0.750 0.625 0.375
0.500 0.000 0.000
0.250 0.375 0.625
0.500 0.500 0.500
0.875 0.625 0.750
```

Summary:
As for the spin magnetization: 0.000 μB/atom. The uncorrected energy comes out at -5.7974 eV/atom. The density of states at the Fermi level comes out at 23.28 states/eV/f.u. The space group is Ia-3d, No. 230. Its calculated density is 7.0 Mg/m³.

***

3.
Density functional theory data (PBE-GGA) for a relaxed structure of PmSm5Ho4.

Geometry as POSCAR:
```
PmSm5Ho4
1.0
6.319 0.000 0.000
3.160 7.255 0.000
3.160 0.000 7.255
Sm Ho Pm
5 4 1
Direct
0.184 0.915 0.619
0.718 0.085 0.381
0.099 0.619 0.085
0.679 0.000 0.000
0.803 0.381 0.915
0.499 0.604 0.300
0.404 0.396 0.700
0.799 0.700 0.604
0.104 0.300 0.396
0.222 0.000 0.000
```

Summary:
As for the spin magnetization: 0.000 μB/atom. The uncorrected energy comes out at -4.3758 eV/atom. For the polymorph energy (0 for the lowest one), the calculation gives 135 meV/atom. The density of states at the Fermi level comes out at 14.81 states/eV/f.u. The space group is I4, No. 79. Its calculated density is 7.8 Mg/m³.

***

4.
Density functional theory data (PBE-GGA) for a relaxed structure of GaTe2PtN.

Geometry as POSCAR:
```
GaTe2PtN
1.0
5.721 0.000 0.000
0.000 5.721 0.000
0.000 0.000 3.674
Te N Ga Pt
2 1 1 1
Direct
0.000 0.500 0.000
0.500 0.000 0.000
0.000 0.000 0.500
0.500 0.500 0.500
0.000 0.000 0.000
```

Summary:
As for the spin magnetization: 0.000 μB/atom. The uncorrected energy comes out at -4.3464 eV/atom. For the polymorph energy (0 for the lowest one), the calculation gives 0 meV/atom. The density of states at the Fermi level comes out at 4.54 states/eV/f.u. The formation energy (no corrections) is 37.5 kJ per mole of atoms. The space group is P4/mmm, No. 123. Its calculated density is 7.4 Mg/m³.